1.
The following is a PBE calculation of crystalline LaNdPd2 at its relaxed geometry, from Alexandria.

Output
energy above the most stable polymorph in this dataset	81.8	meV per atom
E_form	-0.74	eV/atom
size of the total moment	0.000	μB per formula unit
space group	Fm-3m (225)

The structure in extended XYZ format:
```
4
Lattice="5.169 0.000 0.000 2.585 4.477 0.000 2.585 1.492 4.221" Properties=species:S:1:pos:R:3 pbc="T T T"
La 0.000 0.000 0.000
Pd 2.585 1.492 1.055
Nd 5.169 2.985 2.110
Pd 7.754 4.477 3.166
```

=====

2.
The following is a PBE calculation of crystalline Pm4Tl2CdGa at its relaxed geometry, from Alexandria.

Output
E_form	-0.41	eV/atom
size of the total moment	0.000	μB per formula unit
space group	R-3m (166)

The structure in extended XYZ format:
```
8
Lattice="5.413 0.000 0.000 2.706 4.688 0.000 2.706 1.563 8.792" Properties=species:S:1:pos:R:3 pbc="T T T"
Ga 5.413 3.125 4.396
Tl 8.119 4.688 6.768
Pm 5.413 3.125 7.535
Pm 2.706 1.563 5.366
Pm 8.119 4.688 3.426
Pm 5.413 3.125 1.256
Tl 2.706 1.563 2.024
Cd 0.000 0.000 0.000
```

=====

3.
The following is a PBE calculation of crystalline BeTc2P at its relaxed geometry, from Alexandria.

Output
energy above the most stable polymorph in this dataset	165.8	meV per atom
E_form	-0.26	eV/atom
size of the total moment	0.000	μB per formula unit
space group	Imm2 (44)

The structure in extended XYZ format:
```
4
Lattice="-1.864 -0.636 5.296 -2.919 -4.045 2.654 4.291 1.330 -3.426" Properties=species:S:1:pos:R:3 pbc="T T T"
Tc -0.173 -0.170 0.288
P -0.296 -2.318 1.246
Be -2.238 -2.190 3.719
Tc -0.176 -1.013 3.245
```

=====

In the order shown, the computed D(E_F) values come out to 4.374; 7.928; 2.270 states/eV/cell.